A geometry-optimized Er3Tl2Sn structure, computed with PBE.

Values from the calculation:
SG: Pmmn (59)
formation enthalpy at 0 K: -0.3944 eV per atom
uncorrected energy: -4.132 eV/atom
volume: 26.70 A^3/atom
magnetization: 0.0 μB per formula unit

Cell lengths 5.3590, 16.1764, 3.6953 Å; angles 90.00, 90.00, 90.00 degrees
Sites, in units of the cell vectors:
Er (0.2500, 0.0895, 0.0008)
Er (0.2500, 0.4105, 0.0008)
Er (0.2500, 0.7500, 0.9984)
Er (0.7500, 0.2500, 0.0016)
Er (0.7500, 0.5895, 0.9992)
Er (0.7500, 0.9105, 0.9992)
Tl (0.2500, 0.5777, 0.4995)
Tl (0.2500, 0.9223, 0.4995)
Tl (0.7500, 0.0777, 0.5005)
Tl (0.7500, 0.4223, 0.5005)
Sn (0.2500, 0.2500, 0.5014)
Sn (0.7500, 0.7500, 0.4986)